Entry 1:
DFT (GGA-PBE) results for crystalline Pu2InSi2Rh5 at its relaxed geometry.

```
data_Pu2InSi2Rh5
_cell_length_a 9.898
_cell_length_b 9.898
_cell_length_c 3.511
_cell_angle_alpha 90.00
_cell_angle_beta 90.00
_cell_angle_gamma 90.00
_symmetry_space_group_name_H-M 'P 4/m b m'
_symmetry_Int_Tables_number 127
_symmetry_space_group_name_Hall '-P 4 2ab'
loop_
_atom_site_label
_atom_site_type_symbol
_atom_site_fract_x
_atom_site_fract_y
_atom_site_fract_z
Pu1 Pu 0.176 0.324 0.000
In1 In 0.000 0.000 0.000
Si1 Si 0.122 0.622 0.000
Rh1 Rh 0.000 0.500 0.500
Rh2 Rh 0.069 0.783 0.500
```

Calculated values
Formation energy (no corrections) in eV/atom: -0.69

Entry 2:
DFT (GGA-PBE) results for crystalline RbMgAs2Pd4 at its relaxed geometry.

```
data_RbMgAs2Pd4
_cell_length_a 4.175
_cell_length_b 4.175
_cell_length_c 10.259
_cell_angle_alpha 90.00
_cell_angle_beta 90.00
_cell_angle_gamma 90.00
_symmetry_space_group_name_H-M 'P 4/m m m'
_symmetry_Int_Tables_number 123
_symmetry_space_group_name_Hall '-P 4 2'
loop_
_atom_site_label
_atom_site_type_symbol
_atom_site_fract_x
_atom_site_fract_y
_atom_site_fract_z
Rb1 Rb 0.000 0.000 0.000
Mg1 Mg 0.000 0.000 0.500
As1 As 0.500 0.500 0.210
Pd1 Pd 0.000 0.500 0.334
```

Calculated values
DFT formation energy in eV/atom: -0.407

Entry 3:
DFT (GGA-PBE) results for crystalline Sc2ReW at its relaxed geometry.

```
data_Sc2ReW
_cell_length_a 2.951
_cell_length_b 4.434
_cell_length_c 5.680
_cell_angle_alpha 90.00
_cell_angle_beta 101.67
_cell_angle_gamma 90.00
_symmetry_space_group_name_H-M 'P 1 m 1'
_symmetry_Int_Tables_number 6
_symmetry_space_group_name_Hall 'P -2y'
loop_
_atom_site_label
_atom_site_type_symbol
_atom_site_fract_x
_atom_site_fract_y
_atom_site_fract_z
Sc1 Sc 0.000 0.000 0.000
Sc2 Sc 0.262 0.500 0.719
Re1 Re 0.515 0.000 0.463
W1 W 0.703 0.500 0.263
```

Calculated values
Offset from the most stable computed form in meV/atom: 145.4
DFT formation energy in eV/atom: 0.089

| no. | total moment (μB/atom) |
| --- | --- |
| 1 | 1.039 |
| 2 | 0.000 |
| 3 | 0.000 |